Below is an optimized crystal structure of Gd3As2Se, with properties calculated at the PBE-GGA level.

```
Gd3As2Se
1.0
-4.0189 -0.5189 -0.8741
2.8117 -0.0884 -3.0449
1.0262 -10.0360 1.2391
As Gd Se
2 3 1
direct
0.3333 0.6667 0.3327
0.6667 0.3333 0.6673
0.6667 0.3333 0.1774
0.0000 0.0000 0.5000
0.3333 0.6667 0.8226
0.0000 0.0000 0.0000
```

Summary:
The symmetry is P-3m1, No. 164. The final energy comes out at -0.22574 Ha/atom. For the spin magnetization, the calculation gives 0.005 μB per formula unit.

---

Below is an optimized crystal structure of Ta4InFeC2, with properties calculated at the PBE-GGA level.

```
Ta4InFeC2
1.0
-2.3192 1.2134 -1.6783
-0.2992 -2.8333 1.2452
-5.3755 5.6171 11.4895
Ta In C Fe
4 1 2 1
direct
0.6667 0.3333 0.8588
0.6667 0.3333 0.1412
0.0000 0.0000 0.6767
0.0000 0.0000 0.3233
0.6667 0.3333 0.5000
0.3333 0.6667 0.7670
0.3333 0.6667 0.2330
0.0000 0.0000 0.0000
```

Summary:
The symmetry is P-6m2, No. 187. The final energy comes out at -0.36504 Ha/atom. For the spin magnetization, the calculation gives 0.963 μB per formula unit.

---

Below is an optimized crystal structure of FeCuGeIr, with properties calculated at the PBE-GGA level.

```
FeCuGeIr
1.0
3.5899 1.2963 1.7377
-0.0726 2.1984 3.5706
1.3542 -1.7452 3.5648
Ir Fe Cu Ge
1 1 1 1
direct
0.2500 0.2500 0.2500
0.7500 0.7500 0.7500
0.5000 0.5000 0.5000
0.0000 0.0000 0.0000
```

Summary:
For the energy above the most stable polymorph in this dataset, the calculation gives 0.0 meV per atom. The symmetry is F-43m, No. 216. For the spin magnetization, the calculation gives 1.948 μB per formula unit.

---

Below is an optimized crystal structure of RbAlNiS3, with properties calculated at the PBE-GGA level.

```
RbAlNiS3
1.0
1.8207 -7.5277 0.0000
1.8207 7.5277 0.0000
0.0000 0.0000 9.7923
S Ni Rb Al
6 2 2 2
direct
0.4405 0.5595 0.7500
0.8961 0.1039 0.0524
0.1039 0.8961 0.5524
0.5595 0.4405 0.2500
0.8961 0.1039 0.4476
0.1039 0.8961 0.9476
0.5000 0.5000 0.5000
0.5000 0.5000 0.0000
0.2451 0.7549 0.2500
0.7549 0.2451 0.7500
0.0310 0.9690 0.7500
0.9690 0.0310 0.2500
```

Summary:
The symmetry is Cmcm, No. 63. The final energy comes out at -0.16897 Ha/atom. For the spin magnetization, the calculation gives 1.304 μB per formula unit.

---

Below is an optimized crystal structure of KHgC3N3O3, with properties calculated at the PBE-GGA level.

```
KHgC3N3O3
1.0
-5.2250 -2.5634 8.2234
1.9652 -3.3548 0.2029
12.1588 7.7358 10.1370
N C Hg O K
12 12 4 12 4
direct
0.0536 0.2500 0.4283
0.7109 0.2500 0.8439
0.9464 0.7500 0.5717
0.7909 0.7500 0.9880
0.7891 0.7500 0.3439
0.7091 0.2500 0.4880
0.4464 0.7500 0.9283
0.2909 0.7500 0.5120
0.5536 0.2500 0.0717
0.2091 0.2500 0.0120
0.2891 0.7500 0.1561
0.2109 0.2500 0.6561
0.6224 0.2500 0.1285
0.6209 0.2500 0.5342
0.1224 0.2500 0.3715
0.1261 0.2500 0.7048
0.3776 0.7500 0.8715
0.8739 0.7500 0.2952
0.3739 0.7500 0.2048
0.8791 0.7500 0.0342
0.6261 0.2500 0.7952
0.8776 0.7500 0.6285
0.3791 0.7500 0.4658
0.1209 0.2500 0.9658
0.1505 0.2500 0.5384
0.8495 0.7500 0.4616
0.3495 0.7500 0.0384
0.6505 0.2500 0.9616
0.4689 0.7500 0.4204
0.1857 0.2500 0.3139
0.5311 0.2500 0.5796
0.5462 0.2500 0.7448
0.3143 0.7500 0.8139
0.9689 0.7500 0.0796
0.9538 0.7500 0.2448
0.0462 0.2500 0.7552
0.0311 0.2500 0.9204
0.8143 0.7500 0.6861
0.6857 0.2500 0.1861
0.4538 0.7500 0.2552
0.5850 0.2500 0.3355
0.0850 0.2500 0.1645
0.4150 0.7500 0.6645
0.9150 0.7500 0.8355
```

Summary:
The symmetry is Pnma, No. 62. The final energy comes out at -0.25062 Ha/atom.

---

Below is an optimized crystal structure of AgS, with properties calculated at the PBE-GGA level.

```
AgS
1.0
1.8526 1.0696 3.0986
-1.8526 1.0696 3.0986
0.0000 -2.1392 3.0986
S Ag
1 1
direct
0.5000 0.5000 0.5000
0.0000 0.0000 0.0000
```

Summary:
The symmetry is R-3m, No. 166. The final energy comes out at -0.12459 Ha/atom.

---

Below is an optimized crystal structure of DyGaNO, with properties calculated at the PBE-GGA level.

```
DyGaNO
1.0
0.6159 3.6618 -1.2092
4.7632 -0.0685 2.2188
2.2762 -2.0171 -4.9488
O Dy Ga N
2 2 2 2
direct
0.5000 0.4211 0.1709
0.5000 0.9211 0.8291
0.5000 0.9884 0.2080
0.5000 0.4884 0.7920
0.0000 0.4892 0.3079
0.0000 0.9893 0.6921
0.0000 0.3553 0.6251
0.0000 0.8553 0.3749
```

Summary:
For the energy above the most stable polymorph in this dataset, the calculation gives 79.9 meV per atom. The symmetry is Pmc2_1, No. 26. For the spin magnetization, the calculation gives 0.003 μB per formula unit.

---

Below is an optimized crystal structure of HfCo3B2, with properties calculated at the PBE-GGA level.

```
HfCo3B2
1.0
-2.4942 0.5212 4.0792
-2.0521 -2.0704 -3.8256
0.9864 -2.7388 0.9531
Hf Co B
1 3 2
direct
0.0000 0.0000 0.0000
0.5000 0.5000 0.5000
0.5000 0.0000 0.5000
0.0000 0.5000 0.5000
0.6667 0.3334 0.0000
0.3334 0.6667 0.0000
```

Summary:
For the energy above the most stable polymorph in this dataset, the calculation gives 16.6 meV per atom. The symmetry is P6/mmm, No. 191. For the spin magnetization, the calculation gives 0.002 μB per formula unit.

---

Below is an optimized crystal structure of BeCuBiPt, with properties calculated at the PBE-GGA level.

```
BeCuBiPt
1.0
0.0000 3.2189 3.2189
3.2189 0.0000 3.2189
3.2189 3.2189 0.0000
Bi Pt Cu Be
1 1 1 1
direct
0.2500 0.2500 0.2500
0.5000 0.5000 0.5000
0.0000 0.0000 0.0000
0.7500 0.7500 0.7500
```

Summary:
For the energy above the most stable polymorph in this dataset, the calculation gives 44.6 meV per atom. The symmetry is F-43m, No. 216. For the spin magnetization, the calculation gives 0.001 μB per formula unit.

---

Below is an optimized crystal structure of NdCd3Pt4O12, with properties calculated at the PBE-GGA level.

```
NdCd3Pt4O12
1.0
-3.9217 3.9217 3.9217
3.9217 -3.9217 3.9217
3.9217 3.9217 -3.9217
O Pt Cd Nd
12 4 3 1
direct
0.7163 0.5368 0.8206
0.2838 0.1043 0.8206
0.1794 0.7163 0.8957
0.4632 0.1794 0.2838
0.8206 0.7163 0.5368
0.7163 0.8957 0.1794
0.1794 0.2838 0.4632
0.8957 0.1794 0.7163
0.5368 0.8206 0.7163
0.1043 0.8206 0.2838
0.8206 0.2838 0.1043
0.2838 0.4632 0.1794
0.0000 0.5000 0.0000
0.5000 0.0000 0.0000
0.0000 0.0000 0.5000
0.5000 0.5000 0.5000
0.5000 0.0000 0.5000
0.5000 0.5000 0.0000
0.0000 0.5000 0.5000
0.0000 0.0000 0.0000
```

Summary:
The symmetry is Im-3, No. 204. The final energy comes out at -0.20146 Ha/atom. For the spin magnetization, the calculation gives 0.002 μB per formula unit.

---

Below is an optimized crystal structure of TbGeAu, with properties calculated at the PBE-GGA level.

```
TbGeAu
1.0
-3.5719 2.4769 -1.1068
-0.4268 -3.3653 2.9344
1.4893 4.6039 5.4966
Ge Au Tb
2 2 2
direct
0.6667 0.3333 0.9597
0.3333 0.6667 0.4597
0.3333 0.6667 0.0392
0.6667 0.3333 0.5392
0.0000 0.0000 0.2512
0.0000 0.0000 0.7512
```

Summary:
The symmetry is P6_3mc, No. 186. The final energy comes out at -0.18422 Ha/atom. For the spin magnetization, the calculation gives 0.000 μB per formula unit.

---

Below is an optimized crystal structure of LaPa2N4, with properties calculated at the PBE-GGA level.

```
LaPa2N4
1.0
1.7455 -5.7871 0.0000
1.7455 5.7871 0.0000
0.0000 0.0000 10.9005
Pa N La
4 8 2
direct
0.1315 0.8685 0.0705
0.8685 0.1315 0.5705
0.8685 0.1315 0.9295
0.1315 0.8685 0.4295
0.2302 0.7698 0.6030
0.7698 0.2302 0.1030
0.0416 0.9584 0.2500
0.5000 0.5000 0.5000
0.7698 0.2302 0.3970
0.5000 0.5000 0.0000
0.9584 0.0416 0.7500
0.2302 0.7698 0.8970
0.6098 0.3902 0.7500
0.3902 0.6098 0.2500
```

Summary:
The symmetry is Cmcm, No. 63. The final energy comes out at -0.35928 Ha/atom. For the spin magnetization, the calculation gives 0.010 μB per formula unit.

---

Below is an optimized crystal structure of Tm3ScHg2C2, with properties calculated at the PBE-GGA level.

```
Tm3ScHg2C2
1.0
3.5019 0.0000 0.0000
-1.7509 3.0327 0.0000
0.0000 0.0000 15.3932
C Tm Sc Hg
2 3 1 2
direct
0.3333 0.6667 0.9931
0.3333 0.6667 0.5021
0.0000 0.0000 0.5875
0.6667 0.3333 0.0818
0.6667 0.3333 0.4135
0.0000 0.0000 0.9175
0.6667 0.3333 0.7575
0.0000 0.0000 0.2471
```

Summary:
The symmetry is P3m1, No. 156. The final energy comes out at -0.19381 Ha/atom. For the spin magnetization, the calculation gives 1.244 μB per formula unit.

---

Below is an optimized crystal structure of Y2Al3W4C3, with properties calculated at the PBE-GGA level.

```
Y2Al3W4C3
1.0
-2.4847 -2.7273 -4.1047
4.1102 -2.3902 2.8026
-10.9118 -2.6564 8.5393
W C Y Al
8 6 4 6
direct
0.6939 0.7313 0.5773
0.3061 0.2687 0.4227
0.9877 0.6303 0.4227
0.0123 0.3697 0.5773
0.8460 0.3834 0.0773
0.7924 0.9350 0.9227
0.2076 0.0650 0.0773
0.1540 0.6166 0.9227
0.0000 0.0000 0.5000
0.8461 0.6727 0.0000
0.3273 0.6538 0.4999
0.5000 0.0000 0.0000
0.1539 0.3273 0.0000
0.6727 0.3462 0.5001
0.5419 0.7386 0.1188
0.3802 0.0769 0.6188
0.6198 0.9231 0.3812
0.4581 0.2614 0.8812
0.4122 0.6553 0.7480
0.9207 0.6707 0.7500
0.0927 0.8358 0.2480
0.9073 0.1642 0.7520
0.0793 0.3293 0.2500
0.5878 0.3447 0.2520
```

Summary:
The symmetry is C2/c, No. 15. The final energy comes out at -0.32924 Ha/atom. For the spin magnetization, the calculation gives 0.002 μB per formula unit.

---

Below is an optimized crystal structure of KNa2Cd2, with properties calculated at the PBE-GGA level.

```
KNa2Cd2
1.0
-2.4224 2.4224 6.9580
2.4224 -2.4224 6.9580
2.4224 2.4224 -6.9580
Cd Na K
2 2 1
direct
0.6030 0.6030 0.0000
0.3970 0.3970 0.0000
0.2500 0.7500 0.5000
0.7500 0.2500 0.5000
0.0000 0.0000 0.0000
```

Summary:
The symmetry is I4/mmm, No. 139. The final energy comes out at -0.04158 Ha/atom.

---

Below is an optimized crystal structure of K2Rb2HgBi2, with properties calculated at the PBE-GGA level.

```
K2Rb2HgBi2
1.0
3.1452 1.8159 10.1646
-3.1452 1.8159 10.1646
0.0000 -3.6317 10.1646
K Hg Rb Bi
2 1 2 2
direct
0.2089 0.2089 0.2089
0.7911 0.7911 0.7911
0.0000 0.0000 0.0000
0.3861 0.3861 0.3861
0.6139 0.6139 0.6139
0.0916 0.0916 0.0916
0.9084 0.9084 0.9084
```

Summary:
For the energy above the most stable polymorph in this dataset, the calculation gives 0.0 meV per atom. The symmetry is R-3m, No. 166.

---

Below is an optimized crystal structure of Sm2YCo2B2P3, with properties calculated at the PBE-GGA level.

```
Sm2YCo2B2P3
1.0
-6.4083 3.8715 8.5160
-6.8202 7.7873 4.6280
4.4135 -7.1218 -7.6405
Co Sm P B Y
2 2 3 2 1
direct
0.7500 0.2500 0.5000
0.2500 0.7500 0.5000
0.6385 0.6385 0.0000
0.3615 0.3615 0.0000
0.5000 0.5000 0.0000
0.1253 0.1253 0.0000
0.8747 0.8747 0.0000
0.2154 0.2154 0.0000
0.7846 0.7846 0.0000
0.0000 0.0000 0.0000
```

Summary:
The symmetry is I4/mmm, No. 139. The final energy comes out at -0.25123 Ha/atom. For the spin magnetization, the calculation gives 0.000 μB per formula unit.

---

Below is an optimized crystal structure of KTmFeTe3, with properties calculated at the PBE-GGA level.

```
KTmFeTe3
1.0
9.7927 0.0000 0.0000
0.0000 4.2430 0.0000
-3.3325 0.0000 9.5907
K Te Fe Tm
2 6 2 2
direct
0.2033 0.2500 0.7348
0.7967 0.7500 0.2652
0.5404 0.2500 0.3292
0.7847 0.2500 0.9675
0.2153 0.7500 0.0325
0.8924 0.7500 0.6484
0.1076 0.2500 0.3516
0.4596 0.7500 0.6708
0.0662 0.2500 0.0805
0.9338 0.7500 0.9195
0.6680 0.2500 0.6427
0.3320 0.7500 0.3573
```

Summary:
The symmetry is P2_1/m, No. 11. The final energy comes out at -0.17485 Ha/atom. For the spin magnetization, the calculation gives 3.687 μB per formula unit.

---

Below is an optimized crystal structure of Tl2WS4, with properties calculated at the PBE-GGA level.

```
Tl2WS4
1.0
-2.8236 -0.4507 -2.3574
3.4890 -0.3454 -1.2002
-0.3175 -13.4857 2.9584
S Tl W
4 2 1
direct
0.3333 0.6667 0.9088
0.6667 0.3333 0.5946
0.3333 0.6667 0.4054
0.6667 0.3333 0.0912
0.3333 0.6667 0.1978
0.6667 0.3333 0.8022
0.0000 0.0000 0.5000
```

Summary:
The symmetry is P-3m1, No. 164. The final energy comes out at -0.17820 Ha/atom. For the spin magnetization, the calculation gives 0.085 μB per formula unit.

---

Below is an optimized crystal structure of KPuPd, with properties calculated at the PBE-GGA level.

```
KPuPd
1.0
-3.4216 -1.7898 3.3930
-3.4787 3.1744 2.0602
-4.9519 -0.4104 -1.3164
K Pu Pd
1 1 1
direct
0.2500 0.2500 0.2500
0.7500 0.7500 0.7500
0.0000 0.0000 0.0000
```

Summary:
The symmetry is F-43m, No. 216. The final energy comes out at -0.23876 Ha/atom. For the spin magnetization, the calculation gives 6.266 μB per formula unit.